DFT (GGA-PBE) results for ZnCu4Br after structural relaxation.

Magnetization, μB per formula unit: 0.00
Volume, A^3/atom: 15.19
Raw formation energy, eV/atom: 0.288

Unit cell a=5.052 b=5.052 c=5.052 alpha=60.00 beta=60.00 gamma=60.00
Sites, in units of the cell vectors:
1 Cu 0.376 0.872 0.376
2 Cu 0.376 0.376 0.872
3 Cu 0.376 0.376 0.376
4 Cu 0.872 0.376 0.376
5 Br 0.000 0.000 0.000
6 Zn 0.750 0.750 0.750

---

DFT (GGA-PBE) results for TaTl2As after structural relaxation.

Magnetization, μB per formula unit: 0.00
Volume, A^3/atom: 22.43
Formation energy from the elements, eV per formula unit: 2.56
Excess energy over the best structure of this formula in the dataset, meV per atom: 544

Unit cell a=4.019 b=4.019 c=5.555 alpha=90.00 beta=90.00 gamma=90.00
Sites, in units of the cell vectors:
1 As 0.500 0.500 0.250
2 Tl 0.000 0.000 0.998
3 Tl 0.000 0.000 0.502
4 Ta 0.500 0.500 0.750

---

DFT (GGA-PBE) results for LaPm5Pb3 after structural relaxation.

Magnetization, μB per formula unit: 2.81
Volume, A^3/atom: 31.05
Formation energy from the elements, eV per formula unit: -3.97

Unit cell a=6.803 b=9.739 c=9.739 alpha=120.00 beta=90.00 gamma=90.00
Sites, in units of the cell vectors:
1 Pm 0.750 0.667 0.667
2 Pm 0.250 0.667 0.000
3 Pm 0.500 0.333 0.667
4 Pm 0.500 0.667 0.333
5 Pm 0.000 0.667 0.333
6 Pm 0.750 0.333 0.000
7 Pm 0.250 0.333 0.333
8 Pm 0.250 0.000 0.667
9 Pm 0.000 0.333 0.667
10 Pm 0.750 0.000 0.333
11 Pb 0.750 0.665 0.000
12 Pb 0.750 0.335 0.335
13 Pb 0.250 0.335 0.000
14 Pb 0.250 0.000 0.335
15 Pb 0.250 0.665 0.665
16 Pb 0.750 0.000 0.665
17 La 0.500 0.000 0.000
18 La 0.000 0.000 0.000

---

DFT (GGA-PBE) results for La2ZrCrPd after structural relaxation.

Magnetization, μB per formula unit: 0.04
Volume, A^3/atom: 29.18
Formation energy from the elements, eV per formula unit: 4.51

Unit cell a=5.728 b=4.447 c=5.728 alpha=90.00 beta=90.00 gamma=90.00
Sites, in units of the cell vectors:
1 La 0.500 0.000 0.000
2 La 0.000 0.000 0.500
3 Cr 0.000 0.500 0.000
4 Pd 0.500 0.500 0.500
5 Zr 0.000 0.000 0.000

---

DFT (GGA-PBE) results for ErSiPt4 after structural relaxation.

Magnetization, μB per formula unit: 0.00
Volume, A^3/atom: 17.00
Raw formation energy, eV/atom: -0.904

Unit cell a=3.879 b=6.879 c=7.644 alpha=90.00 beta=90.00 gamma=90.00
Sites, in units of the cell vectors:
1 Pt 0.000 0.000 0.500
2 Pt 0.500 0.309 0.941
3 Pt 0.500 0.691 0.059
4 Pt 0.500 0.941 0.750
5 Pt 0.000 0.000 0.000
6 Pt 0.500 0.059 0.250
7 Pt 0.500 0.691 0.441
8 Pt 0.500 0.309 0.559
9 Er 0.000 0.369 0.250
10 Er 0.000 0.631 0.750
11 Si 0.000 0.213 0.750
12 Si 0.000 0.787 0.250

---

DFT (GGA-PBE) results for Cd2AsRh2 after structural relaxation.

Magnetization, μB per formula unit: 0.00
Volume, A^3/atom: 18.01
Formation energy from the elements, eV per formula unit: -1.13

Unit cell a=6.353 b=6.353 c=4.463 alpha=90.00 beta=90.00 gamma=90.00
Sites, in units of the cell vectors:
1 Rh 0.157 0.343 0.000
2 Rh 0.343 0.843 0.000
3 Rh 0.843 0.657 0.000
4 Rh 0.657 0.157 0.000
5 Cd 0.343 0.157 0.500
6 Cd 0.157 0.657 0.500
7 Cd 0.657 0.843 0.500
8 Cd 0.843 0.343 0.500
9 As 0.000 0.000 0.000
10 As 0.500 0.500 0.000